#i
## Sb2TeS (PBE)

Data for an optimized crystal structure of Sb2TeS.

Computed properties:
space-group type: No. 160
V: 108 Å³ per cell
total magnetic moment: 0.00 μB per formula unit

a b c (Å): 3.9173 3.9173 8.4068
angles (deg): 76.53 76.53 60.00
Closest atoms and distances in Å follow each position.
Fractional coordinates of all 4 atoms:
Sb  0.2573  0.2573  0.2282  3 S 2.98, 3 Te 3.21
Sb  0.0757  0.0757  0.7730  3 S 2.86, 3 Te 3.11
Te  0.4967  0.4967  0.5099  6 Sb 3.11-3.21
S  0.6703  0.6703  0.9890  6 Sb 2.86-2.98

***

#ii
## Sb2TeS (PBE)

Data for an optimized crystal structure of Sb2TeS.

Computed properties:
space-group type: No. 122
V: 224 Å³ per cell
total magnetic moment: 0.00 μB per formula unit

a b c (Å): 7.8816 7.8816 6.6346
angles (deg): 53.56 53.56 90.00
Closest atoms and distances in Å follow each position.
Fractional coordinates of all 8 atoms:
Sb  0.8750  0.8480  0.7500  2 S 2.79, 2 Te 3.08
Sb  0.3750  0.4020  0.7500  2 S 2.79, 2 Te 3.08
Sb  0.5980  0.1250  0.2500  2 S 2.79, 2 Te 3.08
Sb  0.1520  0.6250  0.2500  2 S 2.79, 2 Te 3.08
S  0.5000  0.5000  0.0000  4 Sb 2.79
S  0.2500  0.7500  0.5000  4 Sb 2.79
Te  0.7500  0.2500  0.5000  4 Sb 3.08
Te  0.0000  0.0000  0.0000  4 Sb 3.08

***

#iii
## Sb2TeS (PBE)

Data for an optimized crystal structure of Sb2TeS.

Computed properties:
space-group type: No. 166
V: 108 Å³ per cell
total magnetic moment: 0.00 μB per formula unit

a b c (Å): 4.5313 4.5313 6.6120
angles (deg): 69.96 69.96 60.00
Closest atoms and distances in Å follow each position.
Fractional coordinates of all 4 atoms:
Sb  0.2642  0.2642  0.2075  3 S 2.90, 3 Te 3.16
Sb  0.7358  0.7358  0.7925  3 S 2.90, 3 Te 3.16
S  0.0000  0.0000  0.0000  6 Sb 2.90
Te  0.5000  0.5000  0.5000  6 Sb 3.16

***

#iv
## Sb2TeS (PBE)

Data for an optimized crystal structure of Sb2TeS.

Computed properties:
space-group type: No. 225
V: 98 Å³ per cell
total magnetic moment: 0.00 μB per formula unit

a b c (Å): 5.1822 5.1822 5.1822
angles (deg): 60.00 60.00 60.00
Closest atoms and distances in Å follow each position.
Fractional coordinates of all 4 atoms:
Sb  0.2500  0.2500  0.2500  4 S 3.17, 4 Te 3.17
Sb  0.7500  0.7500  0.7500  4 S 3.17, 4 Te 3.17
Te  0.5000  0.5000  0.5000  8 Sb 3.17
S  0.0000  0.0000  0.0000  8 Sb 3.17

***

Which of them is the most stable? Correct choice: #iii.

***

#i
## Sb3TeS (PBE)

Data for an optimized crystal structure of Sb3TeS.

Computed properties:
space-group type: No. 221
V: 187 Å³ per cell
total magnetic moment: 1.04 μB per formula unit

a b c (Å): 5.7152 5.7152 5.7152
angles (deg): 90.00 90.00 90.00
Closest atoms and distances in Å follow each position.
Fractional coordinates of all 5 atoms:
Sb  0.5000  0.0000  0.0000  2 Te 2.86
Sb  0.0000  0.0000  0.5000  2 Te 2.86
Sb  0.0000  0.5000  0.0000  2 Te 2.86
Te  0.0000  0.0000  0.0000  6 Sb 2.86
S  0.5000  0.5000  0.5000  12 Sb 4.04

***

#ii
## Sb3TeS (PBE)

Data for an optimized crystal structure of Sb3TeS.

Computed properties:
space-group type: No. 221
V: 146 Å³ per cell
total magnetic moment: 0.00 μB per formula unit

a b c (Å): 5.2658 5.2658 5.2658
angles (deg): 90.00 90.00 90.00
Closest atoms and distances in Å follow each position.
Fractional coordinates of all 5 atoms:
Sb  0.0000  0.5000  0.0000  2 S 2.63
Sb  0.5000  0.0000  0.0000  2 S 2.63
Sb  0.0000  0.0000  0.5000  2 S 2.63
S  0.0000  0.0000  0.0000  6 Sb 2.63
Te  0.5000  0.5000  0.5000  12 Sb 3.72

***

Which of them is the most stable? Correct choice: #ii.

***

#i
## Sb3TeS3 (PBE)

Data for an optimized crystal structure of Sb3TeS3.

Computed properties:
space-group type: No. 148
V: 435 Å³ per cell
total magnetic moment: 0.00 μB per formula unit

a b c (Å): 8.5476 8.5476 8.4627
angles (deg): 59.67 59.67 60.00
Closest atoms and distances in Å follow each position.
Fractional coordinates of all 14 atoms:
Sb  0.5100  0.9049  0.2767  2 S 2.52-2.62
Sb  0.3083  0.5100  0.2767  2 S 2.52-2.62
Sb  0.0951  0.6917  0.7233  2 S 2.52-2.62
Sb  0.9049  0.3083  0.2767  2 S 2.52-2.62
Sb  0.4900  0.0951  0.7233  2 S 2.52-2.62
Sb  0.6917  0.4900  0.7233  2 S 2.52-2.62
S  0.7968  0.1297  0.6526  2 Sb 2.52-2.62
S  0.8703  0.5791  0.3474  2 Sb 2.52-2.62
S  0.5791  0.2032  0.3474  2 Sb 2.52-2.62
S  0.4209  0.7968  0.6526  2 Sb 2.52-2.62
S  0.1297  0.4209  0.6526  2 Sb 2.52-2.62
S  0.2032  0.8703  0.3474  2 Sb 2.52-2.62
Te  0.6723  0.6723  0.9832  6 Sb 3.18-3.29
Te  0.3277  0.3277  0.0168  6 Sb 3.18-3.29

***

#ii
## Sb3TeS3 (PBE)

Data for an optimized crystal structure of Sb3TeS3.

Computed properties:
space-group type: No. 217
V: 784 Å³ per cell
total magnetic moment: 0.00 μB per formula unit

a b c (Å): 10.0625 10.0625 10.0625
angles (deg): 109.47 109.47 109.47
Closest atoms and distances in Å follow each position.
Fractional coordinates of all 28 atoms:
S  0.4625  0.7006  0.4625  3 Sb 2.65-2.91
S  0.0000  0.2381  0.5375  3 Sb 2.65-2.91
S  0.5375  0.0000  0.2381  3 Sb 2.65-2.91
S  0.4625  0.4625  0.7006  3 Sb 2.65-2.91
S  0.7619  0.2994  0.7619  3 Sb 2.65-2.91
S  0.5375  0.2381  0.0000  3 Sb 2.65-2.91
S  0.0000  0.5375  0.2381  3 Sb 2.65-2.91
S  0.7619  0.7619  0.2994  3 Sb 2.65-2.91
S  0.2994  0.7619  0.7619  3 Sb 2.65-2.91
S  0.2381  0.5375  0.0000  3 Sb 2.65-2.91
S  0.7006  0.4625  0.4625  3 Sb 2.65-2.91
S  0.2381  0.0000  0.5375  3 Sb 2.65-2.91
Te  0.7766  0.0000  0.0000  3 Sb 2.95
Te  0.0000  0.0000  0.7766  3 Sb 2.95
Te  0.2234  0.2234  0.2234  3 Sb 2.95
Te  0.0000  0.7766  0.0000  3 Sb 2.95
Sb  0.7579  0.5123  0.0000  3 S 2.65-2.91, 1 Te 2.95
Sb  0.7579  0.0000  0.5123  3 S 2.65-2.91, 1 Te 2.95
Sb  0.2421  0.7544  0.2421  3 S 2.65-2.91, 1 Te 2.95
Sb  0.2456  0.4877  0.4877  3 S 2.65-2.91, 1 Te 2.95
Sb  0.7544  0.2421  0.2421  3 S 2.65-2.91, 1 Te 2.95
Sb  0.0000  0.5123  0.7579  3 S 2.65-2.91, 1 Te 2.95
Sb  0.4877  0.2456  0.4877  3 S 2.65-2.91, 1 Te 2.95
Sb  0.5123  0.7579  0.0000  3 S 2.65-2.91, 1 Te 2.95
Sb  0.2421  0.2421  0.7544  3 S 2.65-2.91, 1 Te 2.95
Sb  0.5123  0.0000  0.7579  3 S 2.65-2.91, 1 Te 2.95
Sb  0.0000  0.7579  0.5123  3 S 2.65-2.91, 1 Te 2.95
Sb  0.4877  0.4877  0.2456  3 S 2.65-2.91, 1 Te 2.95

***

Which of them is the most stable? Correct choice: #ii.

***

#i
## TiSbTe2S (PBE)

Data for an optimized crystal structure of TiSbTe2S.

Computed properties:
space-group type: No. 123
V: 137 Å³ per cell
total magnetic moment: 0.02 μB per formula unit

a b c (Å): 5.1250 5.1250 5.1987
angles (deg): 90.00 90.00 90.00
Closest atoms and distances in Å follow each position.
Fractional coordinates of all 5 atoms:
Te  0.5000  0.0000  0.0000  2 S 2.56
Te  0.0000  0.5000  0.0000  2 S 2.56
Sb  0.0000  0.0000  0.5000  2 S 2.60
S  0.0000  0.0000  0.0000  4 Te 2.56, 2 Sb 2.60
Ti  0.5000  0.5000  0.5000  4 Sb 3.62, 8 Te 3.65

***

#ii
## TiSbTe2S (PBE)

Data for an optimized crystal structure of TiSbTe2S.

Computed properties:
space-group type: No. 123
V: 142 Å³ per cell
total magnetic moment: 0.00 μB per formula unit

a b c (Å): 5.1542 5.1542 5.3592
angles (deg): 90.00 90.00 90.00
Closest atoms and distances in Å follow each position.
Fractional coordinates of all 5 atoms:
Sb  0.0000  0.0000  0.5000  2 Ti 2.68
Te  0.0000  0.5000  0.0000  2 Ti 2.58
Te  0.5000  0.0000  0.0000  2 Ti 2.58
S  0.5000  0.5000  0.5000  4 Sb 3.64, 8 Te 3.72
Ti  0.0000  0.0000  0.0000  4 Te 2.58, 2 Sb 2.68

***

Which of them is the most stable? Correct choice: #ii.

***

#i
## VSb2TeS (PBE)

Data for an optimized crystal structure of VSb2TeS.

Computed properties:
space-group type: No. 123
V: 134 Å³ per cell
total magnetic moment: 0.08 μB per formula unit

a b c (Å): 5.1313 5.1313 5.0976
angles (deg): 90.00 90.00 90.00
Closest atoms and distances in Å follow each position.
Fractional coordinates of all 5 atoms:
Te  0.0000  0.0000  0.5000  2 S 2.55
V  0.5000  0.5000  0.5000  8 Sb 3.62, 4 Te 3.63
Sb  0.0000  0.5000  0.0000  2 S 2.57
Sb  0.5000  0.0000  0.0000  2 S 2.57
S  0.0000  0.0000  0.0000  2 Te 2.55, 4 Sb 2.57

***

#ii
## VSb2TeS (PBE)

Data for an optimized crystal structure of VSb2TeS.

Computed properties:
space-group type: No. 123
V: 128 Å³ per cell
total magnetic moment: 0.00 μB per formula unit

a b c (Å): 5.0842 5.0842 4.9646
angles (deg): 90.00 90.00 90.00
Closest atoms and distances in Å follow each position.
Fractional coordinates of all 5 atoms:
Te  0.0000  0.0000  0.5000  2 V 2.48
Sb  0.5000  0.0000  0.0000  2 V 2.54
Sb  0.0000  0.5000  0.0000  2 V 2.54
V  0.0000  0.0000  0.0000  2 Te 2.48, 4 Sb 2.54
S  0.5000  0.5000  0.5000  8 Sb 3.55, 4 Te 3.60

***

Which of them is the most stable? Correct choice: #ii.